# Ca2MnPbO4

Ca2MnPbO4 after structural relaxation (PBE with a Hubbard U, Alexandria).

Size of the total moment (μB/atom): 0.6239
Volume (Å³ per cell): 466
E_tot (eV/atom): -6.419

a = 6.8721 Å, b = 6.9632 Å, c = 9.7468 Å
α = 90.00°, β = 90.00°, γ = 90.00°
Last column: nearest neighbours and their distance in Å.
Space group Imma (No. 74)
Asymmetric unit:
Ca: 0.0000 0.0000 0.0000 (multiplicity 4)  6 O 2.47-2.50
Ca: 0.2500 0.2500 0.2500 (multiplicity 4)  6 O 2.35-2.36
Mn: 0.0000 0.0000 0.5000 (multiplicity 4)  6 O 2.38-2.42
Pb: 0.2500 0.2500 0.7500 (multiplicity 4)  6 O 2.52-2.55
O: 0.0000 0.0198 0.2559 (multiplicity 8)  3 Ca 2.35-2.50, 1 Mn 2.38, 2 Pb 2.55
O: 0.2450 0.2500 0.4916 (multiplicity 8)  3 Ca 2.36-2.47, 2 Mn 2.42, 1 Pb 2.52